The following is a PBE calculation of a geometry-optimized Tb2Pm2GaRh4 structure, from the Alexandria database.

Structure (POSCAR):
```
Tb2Pm2GaRh4
1.0
-1.900 3.357 5.179
-4.537 -1.980 -4.147
2.327 -5.949 0.944
Rh Ga Tb Pm
4 1 2 2
Direct
0.000 0.257 0.743
0.486 0.743 0.743
0.514 0.257 0.257
0.000 0.743 0.257
0.000 0.000 0.000
0.500 0.250 0.750
0.500 0.750 0.250
0.000 0.315 0.315
0.000 0.685 0.685
```

Calculated values
Electronic total energy = -6.1137 eV/atom
Formation enthalpy at 0 K = -3.829 eV per formula unit
Total magnetic moment = 0.0 μB per formula unit